{"formula": "NiMoO2", "functional": "GGA+U", "state": "relaxed", "m_tot_mub_per_fu": 0.0, "sg": "P1 (1)", "dos_at_fermi_per_ev_fu": 0.00, "crystal_system": "triclinic", "final_energy_ev_per_fu": -21.34, "lattice_angstrom": [[4.075, 0.000, 0.000], [-1.983, 5.066, 0.000], [-0.973, -2.393, 5.072]], "species": ["Ni", "Ni", "Mo", "Mo", "O", "O", "O", "O"], "fractional_positions": [[0.000, 0.000, 0.000], [0.237, 0.873, 0.573], [0.002, 0.563, 0.066], [0.712, 0.954, 0.359], [0.011, 0.677, 0.783], [0.490, 0.537, 0.100], [0.776, 0.101, 0.741], [0.899, 0.261, 0.259]]}